## RbFeCo2F8 (PBE+U)

Data for a relaxed RbFeCo2F8 crystal.

The structure in POSCAR format:
```
RbFeCo2F8
1.0
5.1411 0.0000 0.0000
1.2035 5.0111 0.0000
1.4493 1.1439 7.1475
Rb Fe Co F
1 1 2 8
Cartesian
0.0000 0.0000 0.0000
0.7247 0.5719 3.5738
3.1381 2.4808 1.6475
4.6559 3.6743 5.5001
2.9427 4.5878 4.9561
2.6620 4.3630 2.1927
2.2215 1.7569 3.2582
2.2048 1.7424 0.0552
5.5892 4.4126 7.0924
5.5725 4.3981 3.8893
5.1320 1.7920 4.9548
4.8513 1.5672 2.1914
```

Computed properties:
E in eV/cell: -59.457